(1)
Below is SrPb3S4 at its PBEsol-relaxed geometry, with properties calculated at the SCAN level.

Lattice parameters (Å, degrees): 4.1829 4.1829 41.0254 90.00 90.00 120.00
With the nearest neighbours (Å) after each atom.
Space group R-3m (No. 166, hexagonal axes)
Unique sites:
1 Sr 0.0000 0.0000 0.0000  6 S 2.96
2 Pb 0.0000 0.0000 0.2494  6 S 2.95-2.97
3 Pb 0.0000 0.0000 0.5000  6 S 2.95
4 S 0.0000 0.0000 0.1253  6 Pb 2.95
5 S 0.0000 0.0000 0.3749  3 Sr 2.96, 3 Pb 2.97

Formation energy (no corrections), eV/atom: -1.03
N(E_F), states/eV/cell: 0.00
Total magnetic moment, μB per formula unit: 0.000

---

(2)
Below is MnSiRh2 at its PBEsol-relaxed geometry, with properties calculated at the SCAN level.

Lattice parameters (Å, degrees): 2.7581 3.6863 5.1017 90.00 90.00 90.00
With the nearest neighbours (Å) after each atom.
Space group Pmm2 (No. 25)
Unique sites:
1 Mn 0.0000 0.0000 0.0000  6 Rh 2.47-2.63, 4 Si 2.75, 2 Mn 2.76
2 Si 0.5000 0.5000 0.7064  6 Rh 2.47-2.64, 4 Mn 2.75, 2 Si 2.76
3 Rh 0.0000 0.0000 0.5157  2 Mn 2.47-2.63, 4 Si 2.50, 2 Rh 2.76
4 Rh 0.5000 0.5000 0.1898  2 Si 2.47-2.64, 4 Mn 2.50, 2 Rh 2.76

Formation energy (no corrections), eV/atom: -0.55
N(E_F), states/eV/cell: 2.53
Total magnetic moment, μB per formula unit: 4.191